# Tl6In5Sn | Alexandria via LeMat-Bulk | PBE | optimized geometry
# **V**: 698.1 Å³ per cell
# **Formation energy from the elements**: 0.038 eV/atom
# **Final energy**: -2.620 eV per atom
data_Tl6In5Sn
_space_group_name_H-M_alt 'C 1 2/m 1'
_space_group_IT_number 12
_space_group_name_Hall '-C 2y'
_cell_length_a 10.9404
_cell_length_b 14.0032
_cell_length_c 5.1588
_cell_angle_alpha 90.00
_cell_angle_beta 117.96
_cell_angle_gamma 90.00
loop_
_atom_site_label
_atom_site_type_symbol
_atom_site_fract_x
_atom_site_fract_y
_atom_site_fract_z
Tl1 Tl 0.2453 0.0000 0.2454
Tl2 Tl 0.2494 0.1660 0.7488
In1 In 0.0000 0.1658 0.0000
In2 In 0.0000 0.3338 0.5000
In3 In 0.0000 0.5000 0.0000
Sn1 Sn 0.0000 0.0000 0.5000